Density functional theory data (PBE-GGA) for a geometry-optimized MgSc6Mn2 structure.

Calculated values
DFT formation energy (meV per atom): 3
Crystal system: orthorhombic
Space-group type: Immm, No. 71

Cell: 7.9033 7.9033 7.9033 Å, 111.61 110.34 106.51°
Positions (direct):
Mg: 0.0000 0.0000 0.0000
Mg: 0.5000 0.5000 0.0000
Sc: 0.0116 0.2325 0.7791
Sc: 0.1914 0.2876 0.4790
Sc: 0.1914 0.7124 0.9037
Sc: 0.3085 0.0156 0.7071
Sc: 0.3085 0.6014 0.2929
Sc: 0.4533 0.2325 0.2209
Sc: 0.5467 0.7675 0.7791
Sc: 0.6915 0.3986 0.7071
Sc: 0.6915 0.9844 0.2929
Sc: 0.8086 0.2876 0.0963
Sc: 0.8086 0.7124 0.5210
Sc: 0.9884 0.7675 0.2209
Mn: 0.1101 0.6101 0.5000
Mn: 0.3788 0.0000 0.3788
Mn: 0.6212 0.0000 0.6212
Mn: 0.8899 0.3899 0.5000